No. 1
Entry from the Alexandria database: SrAlTc2 after structural relaxation (PBE-GGA).

Cell and atoms, written as CIF:
```
data_SrAlTc2
_cell_length_a 2.9639
_cell_length_b 2.9639
_cell_length_c 28.3694
_cell_angle_alpha 90.00
_cell_angle_beta 90.00
_cell_angle_gamma 120.00
_symmetry_space_group_name_H-M 'R -3 m'
_symmetry_Int_Tables_number 166
_symmetry_space_group_name_Hall '-R 3 2"'
loop_
_atom_site_label
_atom_site_fract_x
_atom_site_fract_y
_atom_site_fract_z
Sr1 0.0000 0.0000 0.0000
Al1 0.0000 0.0000 0.5000
Tc1 0.0000 0.0000 0.2382
```

Output
DOS at the Fermi energy in states/eV/f.u.: 4.4
ΔH_f (0 K) in eV per atom: 0.65
Energy in eV per atom: -5.89



No. 2
Entry from the Alexandria database: CaLaCo2 after structural relaxation (PBE-GGA).

Cell and atoms, written as CIF:
```
data_CaLaCo2
_cell_length_a 4.084
_cell_length_b 4.286
_cell_length_c 10.417
_cell_angle_alpha 90.00
_cell_angle_beta 90.00
_cell_angle_gamma 90.00
_symmetry_space_group_name_H-M 'A m m 2'
_symmetry_Int_Tables_number 38
loop_
_symmetry_equiv_pos_as_xyz
'x,y,z'
'-x,-y,z'
'-x,y,z'
'x,-y,z'
'x,y+1/2,z+1/2'
'-x,-y+1/2,z+1/2'
'-x,y+1/2,z+1/2'
'x,-y+1/2,z+1/2'
loop_
_atom_site_label
_atom_site_fract_x
_atom_site_fract_y
_atom_site_fract_z
Ca1 0.000 0.000 0.000
La1 0.500 0.000 0.716
Co1 0.000 0.000 0.309
Co2 0.500 0.000 0.395
```

Output
DOS at the Fermi energy in states/eV/f.u.: 3.2
ΔH_f (0 K) in eV per atom: 0.01
Energy in eV per atom: -5.28



No. 3
Entry from the Alexandria database: CoOsBr after structural relaxation (PBE-GGA).

Cell and atoms, written as CIF:
```
data_CoOsBr
_cell_length_a 3.717
_cell_length_b 3.718
_cell_length_c 8.922
_cell_angle_alpha 90.00
_cell_angle_beta 92.20
_cell_angle_gamma 90.00
_symmetry_space_group_name_H-M 'P 1 m 1'
_symmetry_Int_Tables_number 6
loop_
_symmetry_equiv_pos_as_xyz
'x,y,z'
'x,-y,z'
loop_
_atom_site_label
_atom_site_fract_x
_atom_site_fract_y
_atom_site_fract_z
Co1 0.000 0.000 0.000
Co2 0.488 0.000 0.826
Os1 0.507 0.500 0.005
Os2 0.992 0.500 0.819
Br1 0.083 0.000 0.606
Br2 0.545 0.500 0.277
```

Output
DOS at the Fermi energy in states/eV/f.u.: 2.2
Energy relative to the elements, uncorrected in eV/atom: 0.3369
Energy in eV per atom: -6.33



No. 4
Entry from the Alexandria database: Er3Tm4Cu4 after structural relaxation (PBE-GGA).

Cell and atoms, written as CIF:
```
data_Er3Tm4Cu4
_cell_length_a 4.765
_cell_length_b 7.262
_cell_length_c 14.863
_cell_angle_alpha 90.00
_cell_angle_beta 90.00
_cell_angle_gamma 90.00
_symmetry_space_group_name_H-M 'I m m m'
_symmetry_Int_Tables_number 71
_symmetry_space_group_name_Hall '-I 2 2'
loop_
_atom_site_label
_atom_site_fract_x
_atom_site_fract_y
_atom_site_fract_z
Er1 0.000 0.000 0.000
Er2 0.000 0.500 0.105
Tm1 0.000 0.281 0.328
Cu1 0.000 0.000 0.201
Cu2 0.000 0.169 0.500
```

Output
DOS at the Fermi energy in states/eV/f.u.: 9.8
ΔH_f (0 K) in eV per atom: -0.10
Energy in eV per atom: -4.46



No. 5
Entry from the Alexandria database: SbAs2Pb6Br3 after structural relaxation (PBE-GGA).

Cell and atoms, written as CIF:
```
data_SbAs2Pb6Br3
_cell_length_a 7.745
_cell_length_b 13.422
_cell_length_c 7.933
_cell_angle_alpha 90.00
_cell_angle_beta 109.08
_cell_angle_gamma 90.00
_symmetry_space_group_name_H-M 'C 1 2/m 1'
_symmetry_Int_Tables_number 12
loop_
_symmetry_equiv_pos_as_xyz
'x,y,z'
'-x,-y,-z'
'-x,y,-z'
'x,-y,z'
'x+1/2,y+1/2,z'
'-x+1/2,-y+1/2,-z'
'-x+1/2,y+1/2,-z'
'x+1/2,-y+1/2,z'
loop_
_atom_site_label
_atom_site_fract_x
_atom_site_fract_y
_atom_site_fract_z
Sb1 0.000 0.000 0.000
As1 0.000 0.333 0.000
Pb1 0.225 0.500 0.216
Pb2 0.246 0.174 0.215
Br1 0.000 0.161 0.500
Br2 0.000 0.500 0.500
```

Output
DOS at the Fermi energy in states/eV/f.u.: 0.3
Energy relative to the elements, uncorrected in eV/atom: -0.3786
Energy in eV per atom: -3.77



No. 6
Entry from the Alexandria database: BeReRu after structural relaxation (PBE-GGA).

Cell and atoms, written as CIF:
```
data_BeReRu
_cell_length_a 4.0124
_cell_length_b 4.0124
_cell_length_c 2.7239
_cell_angle_alpha 90.00
_cell_angle_beta 90.00
_cell_angle_gamma 120.00
_symmetry_space_group_name_H-M 'P 3 m 1'
_symmetry_Int_Tables_number 156
loop_
_symmetry_equiv_pos_as_xyz
'x,y,z'
'-y,x-y,z'
'-x+y,-x,z'
'-y,-x,z'
'-x+y,y,z'
'x,x-y,z'
loop_
_atom_site_label
_atom_site_fract_x
_atom_site_fract_y
_atom_site_fract_z
Be1 0.0000 0.0000 0.0000
Re1 0.6667 0.3333 0.4976
Ru1 0.3333 0.6667 0.9964
```

Output
DOS at the Fermi energy in states/eV/f.u.: 2.3
ΔH_f (0 K) in eV per atom: -0.03
Energy in eV per atom: -8.51



In Mg/m³, the density values for the records above are, in order, 7.17, 5.41, 8.87, 9.24, 7.48, 12.96.